1.
DFT (PBE) results for crystalline PdPbCl5 at its relaxed geometry.

Values from the calculation:
formation energy without anion corrections	-0.716	eV per atom

a b c (Å): 6.7930 6.7930 9.3831
angles (deg): 104.45 104.45 96.50
Last column: nearest neighbours and their distance in Å.
Sites, in units of the cell vectors:
Pd 0.0000 0.5000 0.0000  6 Cl 2.33-2.59
Pd 0.5000 0.0000 0.5000  6 Cl 2.33-2.59
Pb 0.0661 0.9339 0.7500  7 Cl 2.93-3.20
Pb 0.9339 0.0661 0.2500  7 Cl 2.93-3.20
Cl 0.1959 0.2493 0.0572  1 Pd 2.36
Cl 0.2249 0.6067 0.8709  1 Pd 2.33
Cl 0.2268 0.7732 0.2500  2 Pd 2.59
Cl 0.2493 0.1959 0.5572  1 Pd 2.36
Cl 0.3933 0.7751 0.6291  1 Pd 2.33
Cl 0.6067 0.2249 0.3709  1 Pd 2.33
Cl 0.7507 0.8041 0.4428  1 Pd 2.36
Cl 0.7732 0.2268 0.7500  2 Pd 2.59
Cl 0.7751 0.3933 0.1291  1 Pd 2.33
Cl 0.8041 0.7507 0.9428  1 Pd 2.36

***

2.
DFT (PBE) results for crystalline SiSbMoI2 at its relaxed geometry.

Values from the calculation:
energy above the lowest structure with this stoichiometry	0.190	eV/atom
formation energy without anion corrections	1.146	eV per atom

a b c (Å): 5.4176 5.4176 5.4656
angles (deg): 90.00 90.00 90.00
Last column: nearest neighbours and their distance in Å.
Sites, in units of the cell vectors:
Si 0.0000 0.0000 0.0000  4 I 2.71, 2 Sb 2.73
Sb 0.0000 0.0000 0.5000  2 Si 2.73
Mo 0.5000 0.5000 0.5000  4 Sb 3.83, 8 I 3.85
I 0.0000 0.5000 0.0000  2 Si 2.71
I 0.5000 0.0000 0.0000  2 Si 2.71

***

3.
DFT (PBE) results for crystalline Ti4Pt4Rh5 at its relaxed geometry.

Values from the calculation:
energy of formation	-18.1	kcal/mol of atoms

a b c (Å): 7.3146 7.3146 7.3146
angles (deg): 94.11 94.11 148.95
Last column: nearest neighbours and their distance in Å.
Sites, in units of the cell vectors:
Ti 0.1326 0.7748 0.9074  6 Rh 2.60-2.84, 4 Pt 2.68-2.80
Ti 0.2252 0.1326 0.3578  6 Rh 2.60-2.84, 4 Pt 2.68-2.80
Ti 0.7748 0.8674 0.6422  6 Rh 2.60-2.84, 4 Pt 2.68-2.80
Ti 0.8674 0.2252 0.0926  6 Rh 2.60-2.84, 4 Pt 2.68-2.80
Pt 0.0920 0.3799 0.4719  4 Ti 2.68-2.80, 3 Rh 2.75-2.77, 4 Pt 2.90
Pt 0.3799 0.9080 0.2879  4 Ti 2.68-2.80, 3 Rh 2.75-2.77, 4 Pt 2.90
Pt 0.6201 0.0920 0.7121  4 Ti 2.68-2.80, 3 Rh 2.75-2.77, 4 Pt 2.90
Pt 0.9080 0.6201 0.5281  4 Ti 2.68-2.80, 3 Rh 2.75-2.77, 4 Pt 2.90
Rh 0.0000 0.0000 0.0000  4 Ti 2.60, 8 Rh 2.77
Rh 0.3103 0.5517 0.8620  5 Ti 2.67-2.84, 3 Pt 2.75-2.77, 4 Rh 2.77
Rh 0.4483 0.3103 0.7586  5 Ti 2.67-2.84, 3 Pt 2.75-2.77, 4 Rh 2.77
Rh 0.5517 0.6897 0.2414  5 Ti 2.67-2.84, 3 Pt 2.75-2.77, 4 Rh 2.77
Rh 0.6897 0.4483 0.1380  5 Ti 2.67-2.84, 3 Pt 2.75-2.77, 4 Rh 2.77

***

Number 1: total moment 0.000 μB/atom, E -3.31 eV/atom. Number 2: total moment 0.724 μB/atom, E -3.55 eV/atom. Number 3: total moment 0.000 μB/atom, E -7.90 eV/atom.